Run A
The following is a PBE calculation of crystalline NaSrIn2 at its relaxed geometry, from Alexandria via LeMat-Bulk.

Unit cell a=7.861 b=7.861 c=7.861 alpha=90.00 beta=90.00 gamma=90.00
Space group Fm-3m (No. 225)
Symmetry-distinct sites (fractional):
Na (0.000, 0.000, 0.000) x4
Sr (0.000, 0.000, 0.500) x4
In (0.250, 0.250, 0.250) x8

Summary:
- M_tot: 0.00 Bohr magnetons per cell

=====

Run B
The following is a PBE calculation of crystalline NaSrIn2 at its relaxed geometry, from Alexandria via LeMat-Bulk.

Unit cell a=8.532 b=4.867 c=11.971 alpha=90.00 beta=90.00 gamma=90.00
Space group Pnma (No. 62)
Symmetry-distinct sites (fractional):
Na (0.047, 0.250, 0.096) x4
Sr (0.213, 0.750, 0.319) x4
In (0.072, 0.750, 0.645) x4
In (0.196, 0.250, 0.528) x4

Summary:
- M_tot: 0.00 Bohr magnetons per cell

=====

Run C
The following is a PBE calculation of crystalline NaSrIn2 at its relaxed geometry, from Alexandria via LeMat-Bulk.

Unit cell a=5.522 b=5.522 c=4.078 alpha=90.00 beta=90.00 gamma=90.00
Space group P4/mmm (No. 123)
Symmetry-distinct sites (fractional):
Na (0.000, 0.000, 0.000) x1
Sr (0.500, 0.500, 0.000) x1
In (0.000, 0.500, 0.500) x2

Summary:
- M_tot: 0.00 Bohr magnetons per cell

=====

Most stable one: run B, least stable one: run C.

=====

Run A
The following is a PBE calculation of crystalline NaSrIn6 at its relaxed geometry, from Alexandria via LeMat-Bulk.

Unit cell a=5.040 b=6.736 c=6.811 alpha=90.00 beta=90.00 gamma=90.00
Space group Pmm2 (No. 25)
Symmetry-distinct sites (fractional):
Na (0.000, 0.000, 0.000) x1
Sr (0.500, 0.500, 0.789) x1
In (0.000, 0.254, 0.540) x2
In (0.000, 0.500, 0.134) x1
In (0.500, 0.000, 0.669) x1
In (0.500, 0.233, 0.248) x2

Summary:
- M_tot: 0.00 Bohr magnetons per cell

=====

Run B
The following is a PBE calculation of crystalline NaSrIn6 at its relaxed geometry, from Alexandria via LeMat-Bulk.

Unit cell a=5.123 b=7.592 c=11.544 alpha=90.00 beta=90.00 gamma=90.00
Space group Amm2 (No. 38)
Symmetry-distinct sites (fractional):
Na (0.000, 0.000, 0.000) x2
Sr (0.500, 0.000, 0.271) x2
In (0.000, 0.000, 0.463) x2
In (0.000, 0.208, 0.725) x4
In (0.500, 0.000, 0.817) x2
In (0.500, 0.221, 0.538) x4

Summary:
- M_tot: 0.00 Bohr magnetons per cell

=====

Most stable one: run B, least stable one: run A.

=====

Run A
The following is a PBE calculation of crystalline Na3SrIn8 at its relaxed geometry, from Alexandria via LeMat-Bulk.

Unit cell a=6.2774 b=6.2774 c=10.0520 alpha=90.00 beta=90.00 gamma=120.00
Space group P3m1 (No. 156)
Symmetry-distinct sites (fractional):
Na (0.0000, 0.0000, 0.0000) x1
Na (0.0000, 0.0000, 0.3576) x1
Na (0.3333, 0.6667, 0.8784) x1
Sr (0.3333, 0.6667, 0.5001) x1
In (0.0096, 0.5048, 0.1825) x3
In (0.3246, 0.1623, 0.6867) x3
In (0.6667, 0.3333, 0.4307) x1
In (0.6667, 0.3333, 0.9395) x1

Summary:
- M_tot: 0.00 Bohr magnetons per cell

=====

Run B
The following is a PBE calculation of crystalline Na3SrIn8 at its relaxed geometry, from Alexandria via LeMat-Bulk.

Unit cell a=6.2713 b=6.2713 c=30.4234 alpha=90.00 beta=90.00 gamma=120.00
Space group R3m (No. 160, hexagonal axes)
Symmetry-distinct sites (fractional):
Na (0.0000, 0.0000, 0.0000) x3
Na (0.0000, 0.0000, 0.1211) x3
Na (0.0000, 0.0000, 0.6278) x3
Sr (0.0000, 0.0000, 0.5010) x3
In (0.0000, 0.0000, 0.3135) x3
In (0.0000, 0.0000, 0.8116) x3
In (0.0002, 0.5001, 0.5632) x9
In (0.1670, 0.3339, 0.3953) x9

Summary:
- M_tot: 0.00 Bohr magnetons per cell

=====

Most stable one: run A, least stable one: run B.

=====

Run A
The following is a PBE calculation of crystalline NaSrIn3 at its relaxed geometry, from Alexandria via LeMat-Bulk.

Unit cell a=6.043 b=7.245 c=7.110 alpha=90.00 beta=100.88 gamma=90.00
Space group P2_1/m (No. 11)
Symmetry-distinct sites (fractional):
Na (0.076, 0.250, 0.415) x2
Sr (0.371, 0.750, 0.277) x2
In (0.182, 0.047, 0.891) x4
In (0.485, 0.750, 0.770) x2

Summary:
- M_tot: 0.00 Bohr magnetons per cell

=====

Run B
The following is a PBE calculation of crystalline NaSrIn3 at its relaxed geometry, from Alexandria via LeMat-Bulk.

Unit cell a=3.871 b=30.367 c=5.093 alpha=90.00 beta=90.00 gamma=90.00
Space group Cmcm (No. 63)
Symmetry-distinct sites (fractional):
Na (0.000, 0.216, 0.250) x4
Sr (0.000, 0.075, 0.750) x4
In (0.000, 0.323, 0.250) x4
In (0.000, 0.376, 0.750) x4
In (0.000, 0.475, 0.750) x4

Summary:
- M_tot: 0.00 Bohr magnetons per cell

=====

Run C
The following is a PBE calculation of crystalline NaSrIn3 at its relaxed geometry, from Alexandria via LeMat-Bulk.

Unit cell a=5.508 b=5.508 c=5.508 alpha=90.00 beta=90.00 gamma=90.00
Space group Pm-3m (No. 221)
Symmetry-distinct sites (fractional):
Na (0.000, 0.000, 0.000) x1
Sr (0.500, 0.500, 0.500) x1
In (0.000, 0.000, 0.500) x3

Summary:
- M_tot: 0.00 Bohr magnetons per cell

=====

Most stable one: run B, least stable one: run C.

=====

Run A
The following is a PBE calculation of crystalline Na3TaIn at its relaxed geometry, from Alexandria via LeMat-Bulk.

Unit cell a=5.613 b=5.613 c=5.613 alpha=90.00 beta=90.00 gamma=90.00
Space group Pm-3m (No. 221)
Symmetry-distinct sites (fractional):
Na (0.000, 0.000, 0.500) x3
Ta (0.500, 0.500, 0.500) x1
In (0.000, 0.000, 0.000) x1

Summary:
- M_tot: 3.30 Bohr magnetons per cell

=====

Run B
The following is a PBE calculation of crystalline Na3TaIn at its relaxed geometry, from Alexandria via LeMat-Bulk.

Unit cell a=5.897 b=5.897 c=5.897 alpha=90.00 beta=90.00 gamma=90.00
Space group Pm-3m (No. 221)
Symmetry-distinct sites (fractional):
Na (0.000, 0.000, 0.500) x3
Ta (0.000, 0.000, 0.000) x1
In (0.500, 0.500, 0.500) x1

Summary:
- M_tot: 4.61 Bohr magnetons per cell

=====

Most stable one: run A, least stable one: run B.

=====

Run A
The following is a PBE calculation of crystalline NaTbIn at its relaxed geometry, from Alexandria via LeMat-Bulk.

Unit cell a=3.619 b=17.475 c=5.359 alpha=90.00 beta=90.00 gamma=90.00
Space group Cmcm (No. 63)
Symmetry-distinct sites (fractional):
Na (0.000, 0.247, 0.250) x4
Tb (0.000, 0.433, 0.750) x4
In (0.000, 0.099, 0.750) x4

Summary:
- M_tot: 0.01 Bohr magnetons per cell

=====

Run B
The following is a PBE calculation of crystalline NaTbIn at its relaxed geometry, from Alexandria via LeMat-Bulk.

Unit cell a=3.420 b=3.420 c=15.077 alpha=90.00 beta=90.00 gamma=90.00
Space group I4mm (No. 107)
Symmetry-distinct sites (fractional):
Na (0.000, 0.000, 0.000) x2
Tb (0.000, 0.000, 0.700) x2
In (0.000, 0.000, 0.342) x2

Summary:
- M_tot: 0.49 Bohr magnetons per cell

=====

Most stable one: run A, least stable one: run B.

=====

Run A
The following is a PBE calculation of crystalline NaTbIn4 at its relaxed geometry, from Alexandria via LeMat-Bulk.

Unit cell a=8.607 b=8.607 c=8.607 alpha=90.00 beta=90.00 gamma=90.00
Space group F-43m (No. 216)
Symmetry-distinct sites (fractional):
Na (0.000, 0.000, 0.000) x4
Tb (0.250, 0.250, 0.750) x4
In (0.125, 0.125, 0.375) x16

Summary:
- M_tot: 0.00 Bohr magnetons per cell

=====

Run B
The following is a PBE calculation of crystalline NaTbIn4 at its relaxed geometry, from Alexandria via LeMat-Bulk.

Unit cell a=3.458 b=5.053 c=8.952 alpha=90.00 beta=90.00 gamma=90.00
Space group Pmmm (No. 47)
Symmetry-distinct sites (fractional):
Na (0.000, 0.000, 0.000) x1
Tb (0.000, 0.500, 0.500) x1
In (0.500, 0.000, 0.336) x2
In (0.500, 0.500, 0.167) x2

Summary:
- M_tot: 0.00 Bohr magnetons per cell

=====

Most stable one: run B, least stable one: run A.

=====

Run A
The following is a PBE calculation of crystalline NaInTc3 at its relaxed geometry, from Alexandria via LeMat-Bulk.

Unit cell a=5.135 b=5.135 c=5.135 alpha=90.00 beta=90.00 gamma=90.00
Space group Pm-3m (No. 221)
Symmetry-distinct sites (fractional):
Na (0.000, 0.000, 0.000) x1
In (0.500, 0.500, 0.500) x1
Tc (0.000, 0.500, 0.500) x3

Summary:
- M_tot: 8.82 Bohr magnetons per cell

=====

Run B
The following is a PBE calculation of crystalline NaInTc3 at its relaxed geometry, from Alexandria via LeMat-Bulk.

Unit cell a=4.568 b=4.568 c=4.568 alpha=90.00 beta=90.00 gamma=90.00
Space group Pm-3m (No. 221)
Symmetry-distinct sites (fractional):
Na (0.000, 0.000, 0.000) x1
In (0.500, 0.500, 0.500) x1
Tc (0.000, 0.000, 0.500) x3

Summary:
- M_tot: 5.06 Bohr magnetons per cell

=====

Most stable one: run A, least stable one: run B.

=====

Run A
The following is a PBE calculation of crystalline NaIn3Tc at its relaxed geometry, from Alexandria via LeMat-Bulk.

Unit cell a=5.229 b=5.229 c=5.229 alpha=90.00 beta=90.00 gamma=90.00
Space group Pm-3m (No. 221)
Symmetry-distinct sites (fractional):
Na (0.000, 0.000, 0.000) x1
In (0.000, 0.500, 0.500) x3
Tc (0.500, 0.500, 0.500) x1

Summary:
- M_tot: 0.00 Bohr magnetons per cell

=====

Run B
The following is a PBE calculation of crystalline NaIn3Tc at its relaxed geometry, from Alexandria via LeMat-Bulk.

Unit cell a=5.271 b=5.271 c=5.271 alpha=90.00 beta=90.00 gamma=90.00
Space group Pm-3m (No. 221)
Symmetry-distinct sites (fractional):
Na (0.000, 0.000, 0.000) x1
In (0.000, 0.000, 0.500) x3
Tc (0.500, 0.500, 0.500) x1

Summary:
- M_tot: 3.64 Bohr magnetons per cell

=====

Most stable one: run A, least stable one: run B.

=====

Run A
The following is a PBE calculation of crystalline NaIn2Te2 at its relaxed geometry, from Alexandria via LeMat-Bulk.

Unit cell a=9.058 b=13.172 c=6.607 alpha=90.00 beta=104.67 gamma=90.00
Space group C2/m (No. 12)
Symmetry-distinct sites (fractional):
Na (0.000, 0.143, 0.000) x4
In (0.000, 0.382, 0.500) x4
In (0.248, 0.000, 0.647) x4
Te (0.000, 0.155, 0.500) x4
Te (0.216, 0.500, 0.917) x4

Summary:
- M_tot: 0.00 Bohr magnetons per cell

=====

Run B
The following is a PBE calculation of crystalline NaIn2Te2 at its relaxed geometry, from Alexandria via LeMat-Bulk.

Unit cell a=5.842 b=5.842 c=9.615 alpha=90.00 beta=90.00 gamma=90.00
Space group I4/mmm (No. 139)
Symmetry-distinct sites (fractional):
Na (0.000, 0.000, 0.000) x2
In (0.000, 0.000, 0.349) x4
Te (0.000, 0.500, 0.250) x4

Summary:
- M_tot: 0.00 Bohr magnetons per cell

=====

Run C
The following is a PBE calculation of crystalline NaIn2Te2 at its relaxed geometry, from Alexandria via LeMat-Bulk.

Unit cell a=10.065 b=13.204 c=7.857 alpha=90.00 beta=128.71 gamma=90.00
Space group C2/c (No. 15)
Symmetry-distinct sites (fractional):
Na (0.000, 0.164, 0.250) x4
In (0.232, 0.455, 0.758) x8
Te (0.000, 0.084, 0.750) x4
Te (0.000, 0.394, 0.250) x4

Summary:
- M_tot: 0.00 Bohr magnetons per cell

=====

Run D
The following is a PBE calculation of crystalline NaIn2Te2 at its relaxed geometry, from Alexandria via LeMat-Bulk.

Unit cell a=8.589 b=8.589 c=4.303 alpha=90.00 beta=90.00 gamma=90.00
Space group P4/mbm (No. 127)
Symmetry-distinct sites (fractional):
Na (0.000, 0.000, 0.000) x2
In (0.136, 0.364, 0.500) x4
Te (0.170, 0.670, 0.000) x4

Summary:
- M_tot: 0.00 Bohr magnetons per cell

=====

Most stable one: run B, least stable one: run C.

=====

Run A
The following is a PBE calculation of crystalline NaInTe at its relaxed geometry, from Alexandria via LeMat-Bulk.

Unit cell a=4.179 b=5.844 c=17.149 alpha=90.00 beta=90.00 gamma=90.00
Space group Immm (No. 71)
Symmetry-distinct sites (fractional):
Na (0.000, 0.000, 0.164) x4
In (0.000, 0.260, 0.500) x4
Te (0.000, 0.000, 0.350) x4

Summary:
- M_tot: 0.00 Bohr magnetons per cell

=====

Run B
The following is a PBE calculation of crystalline NaInTe at its relaxed geometry, from Alexandria via LeMat-Bulk.

Unit cell a=4.4086 b=4.4086 c=6.0732 alpha=90.00 beta=90.00 gamma=120.00
Space group P3m1 (No. 156)
Symmetry-distinct sites (fractional):
Na (0.0000, 0.0000, 0.0000) x1
In (0.6667, 0.3333, 0.5867) x1
Te (0.3333, 0.6667, 0.3104) x1

Summary:
- M_tot: 0.00 Bohr magnetons per cell

=====

Most stable one: run B, least stable one: run A.